Crystalline GaNi9 at its relaxed geometry, computed with GGA-PBE.

Calculated values
Its energy above the lowest structure with this stoichiometry is 0.70 kcal/mol of atoms. As for the space group: P4/nmm (129). Its total energy is -5.289 eV per atom. Its total magnetization is 0.380 μB per atom.

Structure (CIF):
```
data_GaNi9
_cell_length_a 2.5118
_cell_length_b 2.5118
_cell_length_c 47.6954
_cell_angle_alpha 90.00
_cell_angle_beta 90.00
_cell_angle_gamma 90.00
_symmetry_space_group_name_H-M 'P 1'
_symmetry_Int_Tables_number 1
loop_
_symmetry_equiv_pos_as_xyz
'x,y,z'
loop_
_atom_site_label
_atom_site_type_symbol
_atom_site_fract_x
_atom_site_fract_y
_atom_site_fract_z
Ni1 Ni 0.5000 0.0000 0.1925
Ni2 Ni 0.5000 0.0000 0.6271
Ni3 Ni 0.5000 0.0000 0.6993
Ni4 Ni 0.5000 0.0000 0.4818
Ni5 Ni 0.0000 0.5000 0.4456
Ni6 Ni 0.0000 0.5000 0.5182
Ni7 Ni 0.0000 0.5000 0.7357
Ni8 Ni 0.0000 0.5000 0.3007
Ni9 Ni 0.0000 0.5000 0.2288
Ni10 Ni 0.5000 0.0000 0.5544
Ni11 Ni 0.5000 0.0000 0.7712
Ni12 Ni 0.0000 0.5000 0.6633
Ni13 Ni 0.0000 0.5000 0.3729
Ni14 Ni 0.5000 0.0000 0.2643
Ni15 Ni 0.0000 0.5000 0.8075
Ni16 Ni 0.5000 0.0000 0.4096
Ga1 Ga 0.5000 0.0000 0.8465
Ga2 Ga 0.0000 0.5000 0.1535
Ni17 Ni 0.5000 0.0000 0.3367
Ni18 Ni 0.0000 0.5000 0.5904
```

Crystalline GaNi15 at its relaxed geometry, computed with GGA-PBE.

Calculated values
Its energy above the lowest structure with this stoichiometry is 1.31 kcal/mol of atoms. As for the space group: Pm (6). Its total energy is -5.343 eV per atom. Its total magnetization is 0.075 μB per atom.

Structure (CIF):
```
data_GaNi15
_cell_length_a 4.9545
_cell_length_b 3.5003
_cell_length_c 33.6711
_cell_angle_alpha 90.00
_cell_angle_beta 90.01
_cell_angle_gamma 90.00
_symmetry_space_group_name_H-M 'P 1'
_symmetry_Int_Tables_number 1
loop_
_symmetry_equiv_pos_as_xyz
'x,y,z'
loop_
_atom_site_label
_atom_site_type_symbol
_atom_site_fract_x
_atom_site_fract_y
_atom_site_fract_z
Ni1 Ni 0.8748 0.5000 0.4814
Ni2 Ni 0.1250 0.0000 0.2972
Ni3 Ni 0.8735 0.5000 0.2585
Ni4 Ni 0.1252 0.0000 0.5926
Ni5 Ni 0.6250 0.0000 0.2969
Ni6 Ni 0.3751 0.5000 0.7763
Ni7 Ni 0.3766 0.5000 0.2585
Ni8 Ni 0.1246 0.0000 0.6665
Ga1 Ga 0.1250 0.0000 0.2216
Ni9 Ni 0.3750 0.5000 0.6297
Ni10 Ni 0.8748 0.5000 0.4076
Ni11 Ni 0.1250 0.0000 0.4445
Ni12 Ni 0.3752 0.5000 0.4815
Ni13 Ni 0.3750 0.5000 0.5552
Ni14 Ni 0.6235 0.0000 0.7415
Ni15 Ni 0.8750 0.5000 0.5550
Ni16 Ni 0.8753 0.5000 0.3336
Ni17 Ni 0.8750 0.5000 0.7029
Ni18 Ni 0.3750 0.5000 0.7032
Ni19 Ni 0.6248 0.0000 0.5183
Ni20 Ni 0.6250 0.0000 0.2236
Ni21 Ni 0.1249 0.0000 0.3710
Ni22 Ni 0.6248 0.0000 0.5926
Ga2 Ga 0.8750 0.5000 0.7784
Ni23 Ni 0.3752 0.5000 0.4077
Ni24 Ni 0.8750 0.5000 0.6292
Ni25 Ni 0.3747 0.5000 0.3336
Ni26 Ni 0.1252 0.0000 0.5182
Ni27 Ni 0.6254 0.0000 0.6666
Ni28 Ni 0.1266 0.0000 0.7415
Ni29 Ni 0.6250 0.0000 0.3705
Ni30 Ni 0.6250 0.0000 0.4444
```

Crystalline Ga2Ni7 at its relaxed geometry, computed with GGA-PBE.

Calculated values
As for the space group: P-3m1 (164). Its total energy is -4.946 eV per atom. Its total magnetization is 0.401 μB per atom.

Structure (CIF):
```
data_Ga2Ni7
_cell_length_a 2.5552
_cell_length_b 2.5552
_cell_length_c 30.6396
_cell_angle_alpha 90.00
_cell_angle_beta 90.00
_cell_angle_gamma 120.00
_symmetry_space_group_name_H-M 'P 1'
_symmetry_Int_Tables_number 1
loop_
_symmetry_equiv_pos_as_xyz
'x,y,z'
loop_
_atom_site_label
_atom_site_type_symbol
_atom_site_fract_x
_atom_site_fract_y
_atom_site_fract_z
Ni1 Ni 0.3333 0.6667 0.3709
Ni2 Ni 0.3333 0.6667 0.5645
Ni3 Ni 0.6667 0.3333 0.3053
Ga1 Ga 0.3333 0.6667 0.7638
Ni4 Ni 0.6667 0.3333 0.5000
Ni5 Ni 0.0000 0.0000 0.4355
Ni6 Ni 0.0000 0.0000 0.6291
Ga2 Ga 0.0000 0.0000 0.2361
Ni7 Ni 0.6667 0.3333 0.6947
```

Crystalline GaNi15 at its relaxed geometry, computed with GGA-PBE.

Calculated values
Its energy above the lowest structure with this stoichiometry is 1.88 kcal/mol of atoms. As for the space group: P2_1/m (11). Its total energy is -5.319 eV per atom. Its total magnetization is 0.150 μB per atom.

Structure (CIF):
```
data_GaNi15
_cell_length_a 6.9807
_cell_length_b 2.4940
_cell_length_c 33.6299
_cell_angle_alpha 90.00
_cell_angle_beta 90.00
_cell_angle_gamma 90.00
_symmetry_space_group_name_H-M 'P 1'
_symmetry_Int_Tables_number 1
loop_
_symmetry_equiv_pos_as_xyz
'x,y,z'
loop_
_atom_site_label
_atom_site_type_symbol
_atom_site_fract_x
_atom_site_fract_y
_atom_site_fract_z
Ni1 Ni 0.1253 0.0000 0.5184
Ni2 Ni 0.8751 0.5000 0.6289
Ni3 Ni 0.3750 0.5000 0.7753
Ni4 Ni 0.8751 0.5000 0.5554
Ni5 Ni 0.8753 0.5000 0.3335
Ni6 Ni 0.6237 0.0000 0.7422
Ni7 Ni 0.3763 0.5000 0.2578
Ga1 Ga 0.8750 0.5000 0.7780
Ni8 Ni 0.8745 0.5000 0.4076
Ni9 Ni 0.3747 0.5000 0.3335
Ni10 Ni 0.1263 0.0000 0.7422
Ni11 Ni 0.8737 0.5000 0.2579
Ni12 Ni 0.3749 0.5000 0.6296
Ni13 Ni 0.6253 0.0000 0.6665
Ni14 Ni 0.8750 0.5000 0.7028
Ni15 Ni 0.6247 0.0000 0.5185
Ni16 Ni 0.6251 0.0000 0.4445
Ni17 Ni 0.3755 0.5000 0.4076
Ni18 Ni 0.1250 0.0000 0.2972
Ni19 Ni 0.1249 0.0000 0.4446
Ni20 Ni 0.3750 0.5000 0.7029
Ni21 Ni 0.1255 0.0000 0.5924
Ni22 Ni 0.1249 0.0000 0.3710
Ni23 Ni 0.3749 0.5000 0.5555
Ni24 Ni 0.8747 0.5000 0.4816
Ni25 Ni 0.3753 0.5000 0.4815
Ni26 Ni 0.6250 0.0000 0.2971
Ni27 Ni 0.6251 0.0000 0.3703
Ni28 Ni 0.6250 0.0000 0.2247
Ni29 Ni 0.1247 0.0000 0.6665
Ga2 Ga 0.1250 0.0000 0.2220
Ni30 Ni 0.6245 0.0000 0.5924
```